# PBE with a Hubbard U Rb2YMo3O12, optimized geometry
data_Rb2YMo3O12
_space_group_name_H-M_alt 'R -3 m'
_space_group_IT_number 166
_space_group_name_Hall '-R 3 2"'
_cell_length_a 7.5067
_cell_length_b 7.5067
_cell_length_c 18.7738
_cell_angle_alpha 90.00
_cell_angle_beta 90.00
_cell_angle_gamma 120.00
loop_
_atom_site_label
_atom_site_fract_x
_atom_site_fract_y
_atom_site_fract_z
Rb1 0.0000 0.0000 0.1330
Y1 0.0000 0.0000 0.5000
Mo1 0.0000 0.5000 0.0000
O1 0.0439 0.5220 0.0996
O2 0.0899 0.5450 0.3444
# Fermi-level density of states   32.4 states/eV/cell
# E   -6.79 eV per atom